# 1
The following is a DFT calculation (GGA-PBE) of crystalline MnAg2As at its relaxed geometry.

The structure in POSCAR format:
```
MnAg2As
1.0
3.2227 0.0000 0.0000
0.0000 3.2227 0.0000
0.0000 0.0000 6.6724
Mn Ag As
1 2 1
Direct
0.0000 0.0000 0.0000
0.0000 0.0000 0.5306
0.5000 0.5000 0.2677
0.5000 0.5000 0.8380
```

# 2
The following is a DFT calculation (GGA-PBE) of crystalline MnAgAs2 at its relaxed geometry.

Computed properties:
* energy above the lowest structure with this stoichiometry: 163 meV per atom

The structure in POSCAR format:
```
MnAgAs2
1.0
2.8301 0.0000 0.0000
0.0000 2.8301 0.0000
0.0000 0.0000 9.3101
Mn Ag As
1 1 2
Direct
0.0000 0.0000 0.0000
0.5000 0.5000 0.2214
0.0000 0.0000 0.4593
0.5000 0.5000 0.8134
```

# 3
The following is a DFT calculation (GGA-PBE) of crystalline MnAg2As at its relaxed geometry.

The structure in POSCAR format:
```
MnAg2As
1.0
-2.2095 2.2095 3.5893
2.2095 -2.2095 3.5893
2.2095 2.2095 -3.5893
Mn Ag As
1 2 1
Direct
0.0000 0.0000 0.0000
0.2500 0.7500 0.5000
0.5000 0.5000 0.0000
0.7500 0.2500 0.5000
```

# 4
The following is a DFT calculation (GGA-PBE) of crystalline MnAg2As2 at its relaxed geometry.

Computed properties:
* energy above the lowest structure with this stoichiometry: 232 meV per atom

The structure in POSCAR format:
```
MnAg2As2
1.0
-1.9074 1.9074 6.7732
1.9074 -1.9074 6.7732
1.9074 1.9074 -6.7732
Mn Ag As
1 2 2
Direct
0.0000 0.0000 0.0000
0.2500 0.7500 0.5000
0.7500 0.2500 0.5000
0.4051 0.4051 0.0000
0.5949 0.5949 0.0000
```

# 5
The following is a DFT calculation (GGA-PBE) of crystalline MnAgAs2 at its relaxed geometry.

Computed properties:
* energy above the lowest structure with this stoichiometry: 74 meV per atom

The structure in POSCAR format:
```
MnAgAs2
1.0
3.6877 -1.6506 0.0000
3.6877 1.6506 0.0000
-1.3446 0.0000 6.0401
Mn Ag As
1 1 2
Direct
0.0000 0.0000 0.0000
0.5000 0.5000 0.5000
0.2732 0.2732 0.7954
0.7268 0.7268 0.2046
```

# 6
The following is a DFT calculation (GGA-PBE) of crystalline MnAgAs2 at its relaxed geometry.

Computed properties:
* energy above the lowest structure with this stoichiometry: 112 meV per atom

The structure in POSCAR format:
```
MnAgAs2
1.0
3.6356 0.0000 0.0000
0.0000 3.6356 0.0000
0.0000 0.0000 5.4123
Mn Ag As
1 1 2
Direct
0.0000 0.0000 0.0000
0.5000 0.5000 0.3350
0.0000 0.0000 0.4967
0.5000 0.5000 0.8537
```

# 7
The following is a DFT calculation (GGA-PBE) of crystalline MnAgAs at its relaxed geometry.

Computed properties:
* energy above the lowest structure with this stoichiometry: 91 meV per atom

The structure in POSCAR format:
```
MnAgAs
1.0
4.0853 0.0000 0.0000
-2.0426 3.5380 0.0000
0.0000 0.0000 3.7793
Mn Ag As
1 1 1
Direct
0.0000 0.0000 0.0000
0.6667 0.3333 0.3990
0.3333 0.6667 0.7810
```

# 8
The following is a DFT calculation (GGA-PBE) of crystalline Mn3AgAs at its relaxed geometry.

Computed properties:
* energy above the lowest structure with this stoichiometry: 0 meV per atom

The structure in POSCAR format:
```
Mn3AgAs
1.0
4.5712 0.0000 0.0000
0.0000 4.5712 0.0000
0.0000 0.0000 4.5712
Mn Ag As
3 1 1
Direct
0.0000 0.0000 0.5000
0.0000 0.5000 0.0000
0.5000 0.0000 0.0000
0.5000 0.5000 0.5000
0.0000 0.0000 0.0000
```

# 9
The following is a DFT calculation (GGA-PBE) of crystalline MnAgAs2 at its relaxed geometry.

Computed properties:
* energy above the lowest structure with this stoichiometry: 149 meV per atom

The structure in POSCAR format:
```
MnAgAs2
1.0
5.0683 -1.4535 0.0000
5.0683 1.4535 0.0000
-0.9378 0.0000 4.7765
Mn Ag As
1 1 2
Direct
0.0000 0.0000 0.0000
0.2663 0.2663 0.6384
0.5127 0.5127 0.5039
0.7311 0.7311 0.1117
```

# 10
The following is a DFT calculation (GGA-PBE) of crystalline MnAg2As at its relaxed geometry.

The structure in POSCAR format:
```
MnAg2As
1.0
-3.7895 3.7895 2.6441
3.7895 -3.7895 2.6441
3.7895 3.7895 -2.6441
Mn Ag As
2 4 2
Direct
0.0000 0.0000 0.0000
0.7500 0.2500 0.5000
0.1400 0.6250 0.0150
0.3750 0.3900 0.5150
0.6100 0.1250 0.9850
0.8750 0.8600 0.4850
0.2500 0.7500 0.5000
0.5000 0.5000 0.0000
```

# 11
The following is a DFT calculation (GGA-PBE) of crystalline MnAgAs2 at its relaxed geometry.

Computed properties:
* energy above the lowest structure with this stoichiometry: 218 meV per atom

The structure in POSCAR format:
```
MnAgAs2
1.0
-2.8715 2.8715 5.6140
2.8715 -2.8715 5.6140
2.8715 2.8715 -5.6140
Mn Ag As
2 2 4
Direct
0.0000 0.0000 0.0000
0.7500 0.2500 0.5000
0.2500 0.7500 0.5000
0.5000 0.5000 0.0000
0.0801 0.6250 0.9551
0.3750 0.3301 0.4551
0.6699 0.1250 0.0449
0.8750 0.9199 0.5449
```

# 12
The following is a DFT calculation (GGA-PBE) of crystalline MnAgAs4 at its relaxed geometry.

The structure in POSCAR format:
```
MnAgAs4
1.0
0.0000 3.9174 3.9174
3.9174 0.0000 3.9174
3.9174 3.9174 0.0000
Mn Ag As
1 1 4
Direct
0.0000 0.0000 0.0000
0.7500 0.7500 0.7500
0.3751 0.3751 0.3751
0.3751 0.3751 0.8748
0.3751 0.8748 0.3751
0.8748 0.3751 0.3751
```

# 13
The following is a DFT calculation (GGA-PBE) of crystalline MnAg3As at its relaxed geometry.

Computed properties:
* energy above the lowest structure with this stoichiometry: 0 meV per atom

The structure in POSCAR format:
```
MnAg3As
1.0
4.9424 0.0000 0.0000
0.0000 4.9424 0.0000
0.0000 0.0000 4.9424
Mn Ag As
1 3 1
Direct
0.0000 0.0000 0.0000
0.0000 0.5000 0.5000
0.5000 0.0000 0.5000
0.5000 0.5000 0.0000
0.5000 0.5000 0.5000
```

# 14
The following is a DFT calculation (GGA-PBE) of crystalline MnAg4As at its relaxed geometry.

The structure in POSCAR format:
```
MnAg4As
1.0
0.0000 3.8641 3.8641
3.8641 0.0000 3.8641
3.8641 3.8641 0.0000
Mn Ag As
1 4 1
Direct
0.0000 0.0000 0.0000
0.1240 0.6253 0.6253
0.6253 0.1240 0.6253
0.6253 0.6253 0.1240
0.6253 0.6253 0.6253
0.2500 0.2500 0.2500
```

# 15
The following is a DFT calculation (GGA-PBE) of crystalline MnAgAs2 at its relaxed geometry.

Computed properties:
* energy above the lowest structure with this stoichiometry: 90 meV per atom

The structure in POSCAR format:
```
MnAgAs2
1.0
-1.4380 1.8428 6.4019
1.4380 -1.8428 6.4019
1.4380 1.8428 -6.4019
Mn Ag As
1 1 2
Direct
0.0000 0.0000 0.0000
0.2170 0.7170 0.5000
0.5554 0.5554 0.0000
0.8504 0.3504 0.5000
```

# 16
The following is a DFT calculation (GGA-PBE) of crystalline MnAgAs3 at its relaxed geometry.

The structure in POSCAR format:
```
MnAgAs3
1.0
4.6561 0.0000 0.0000
0.0000 4.6561 0.0000
0.0000 0.0000 4.6561
Mn Ag As
1 1 3
Direct
0.0000 0.0000 0.0000
0.5000 0.5000 0.5000
0.0000 0.0000 0.5000
0.0000 0.5000 0.0000
0.5000 0.0000 0.0000
```

# 17
The following is a DFT calculation (GGA-PBE) of crystalline MnAg2As at its relaxed geometry.

The structure in POSCAR format:
```
MnAg2As
1.0
4.9552 -1.4706 0.0000
4.9552 1.4706 0.0000
-0.7274 0.0000 4.7639
Mn Ag As
1 2 1
Direct
0.0000 0.0000 0.0000
0.2546 0.2546 0.7557
0.7454 0.7454 0.2443
0.5000 0.5000 0.5000
```

# 18
The following is a DFT calculation (GGA-PBE) of crystalline MnAgAs at its relaxed geometry.

Computed properties:
* energy above the lowest structure with this stoichiometry: 11 meV per atom

The structure in POSCAR format:
```
MnAgAs
1.0
-1.6068 1.6068 4.9392
1.6068 -1.6068 4.9392
1.6068 1.6068 -4.9392
Mn Ag As
1 1 1
Direct
0.0000 0.0000 0.0000
0.3123 0.3123 0.0000
0.6068 0.6068 0.0000
```

# 19
The following is a DFT calculation (GGA-PBE) of crystalline MnAg3As at its relaxed geometry.

Computed properties:
* energy above the lowest structure with this stoichiometry: 360 meV per atom

The structure in POSCAR format:
```
MnAg3As
1.0
4.8968 0.0000 0.0000
0.0000 4.8968 0.0000
0.0000 0.0000 4.8968
Mn Ag As
1 3 1
Direct
0.0000 0.0000 0.0000
0.0000 0.0000 0.5000
0.0000 0.5000 0.0000
0.5000 0.0000 0.0000
0.5000 0.5000 0.5000
```

# 20
The following is a DFT calculation (GGA-PBE) of crystalline MnAg2As at its relaxed geometry.

The structure in POSCAR format:
```
MnAg2As
1.0
3.1080 0.0000 0.0000
0.0000 3.5508 0.0000
-1.4818 0.0000 6.4403
Mn Ag As
1 2 1
Direct
0.0000 0.0000 0.0000
0.2505 0.0000 0.5223
0.6318 0.5000 0.2750
0.4275 0.5000 0.8501
```

# 21
The following is a DFT calculation (GGA-PBE) of crystalline MnAg2As2 at its relaxed geometry.

Computed properties:
* energy above the lowest structure with this stoichiometry: 269 meV per atom

The structure in POSCAR format:
```
MnAg2As2
1.0
7.2630 0.0000 0.0000
0.0000 7.2630 0.0000
0.0000 0.0000 3.6082
Mn Ag As
2 4 4
Direct
0.0000 0.0000 0.0000
0.5000 0.5000 0.0000
0.1330 0.3670 0.0000
0.3670 0.8670 0.0000
0.6330 0.1330 0.0000
0.8670 0.6330 0.0000
0.1747 0.6747 0.5000
0.3253 0.1747 0.5000
0.6747 0.8253 0.5000
0.8253 0.3253 0.5000
```

# 22
The following is a DFT calculation (GGA-PBE) of crystalline MnAgAs at its relaxed geometry.

Computed properties:
* energy above the lowest structure with this stoichiometry: 30 meV per atom

The structure in POSCAR format:
```
MnAgAs
1.0
0.0000 2.2168 6.2102
1.8704 0.0000 6.2102
1.8704 2.2168 0.0000
Mn Ag As
1 1 1
Direct
0.0000 0.0000 0.0000
0.3371 0.3371 0.6629
0.6365 0.6365 0.3635
```

# 23
The following is a DFT calculation (GGA-PBE) of crystalline MnAg2As at its relaxed geometry.

The structure in POSCAR format:
```
MnAg2As
1.0
2.9064 0.0000 0.0000
0.0000 2.9064 0.0000
0.0000 0.0000 8.4097
Mn Ag As
1 2 1
Direct
0.0000 0.0000 0.0000
0.5000 0.5000 0.2336
0.5000 0.5000 0.7664
0.0000 0.0000 0.5000
```

# 24
The following is a DFT calculation (GGA-PBE) of crystalline MnAg2As at its relaxed geometry.

The structure in POSCAR format:
```
MnAg2As
1.0
2.7263 -4.2828 0.0000
2.7263 4.2828 0.0000
0.0000 0.0000 3.0191
Mn Ag As
1 2 1
Direct
0.0000 0.0000 0.0000
0.0000 0.5000 0.5000
0.5000 0.0000 0.5000
0.5000 0.5000 0.0000
```

# 25
The following is a DFT calculation (GGA-PBE) of crystalline MnAg2As2 at its relaxed geometry.

Computed properties:
* energy above the lowest structure with this stoichiometry: 0 meV per atom

The structure in POSCAR format:
```
MnAg2As2
1.0
6.2526 0.0000 0.0000
0.0000 6.2526 0.0000
0.0000 0.0000 4.8588
Mn Ag As
2 4 4
Direct
0.0000 0.0000 0.0000
0.5000 0.5000 0.0000
0.2473 0.2527 0.5000
0.2527 0.7527 0.5000
0.7473 0.2473 0.5000
0.7527 0.7473 0.5000
0.1415 0.6415 0.0000
0.3585 0.1415 0.0000
0.6415 0.8585 0.0000
0.8585 0.3585 0.0000
```

# 26
The following is a DFT calculation (GGA-PBE) of crystalline MnNbAg2As at its relaxed geometry.

The structure in POSCAR format:
```
MnNbAg2As
1.0
5.1854 0.0000 0.0000
0.0000 5.1854 0.0000
0.0000 0.0000 4.4621
Mn Nb Ag As
1 1 2 1
Direct
0.0000 0.0000 0.0000
0.0000 0.0000 0.5000
0.0000 0.5000 0.5000
0.5000 0.0000 0.5000
0.5000 0.5000 0.0000
```

| no. | ΔH_f (0 K) (kJ/mol of formula units) | density of states at the Fermi level (states/eV per cell) |
| --- | --- | --- |
| 1 | 42.5 | 2.07 |
| 2 | 72.0 | 2.19 |
| 3 | 81.9 | 1.65 |
| 4 | 164.2 | 2.30 |
| 5 | 37.5 | 1.68 |
| 6 | 52.2 | 1.41 |
| 7 | 66.3 | 1.62 |
| 8 | 274.0 | 3.22 |
| 9 | 66.3 | 1.56 |
| 10 | 135.9 | 4.59 |
| 11 | 93.1 | 3.18 |
| 12 | 290.5 | 2.40 |
| 13 | 329.3 | 2.80 |
| 14 | 202.1 | 2.48 |
| 15 | 43.7 | 2.60 |
| 16 | 204.3 | 3.38 |
| 17 | 61.8 | 1.56 |
| 18 | 43.1 | 1.82 |
| 19 | 503.0 | 3.93 |
| 20 | 41.4 | 1.87 |
| 21 | 181.9 | 5.58 |
| 22 | 48.5 | 1.22 |
| 23 | 97.0 | 1.32 |
| 24 | 101.3 | 2.33 |
| 25 | 52.3 | 6.33 |
| 26 | 701.0 | 3.91 |